No. 1
First-principles (GGA-PBE) data for an optimized crystal structure of CsScTa2, as listed in Alexandria.

Lattice parameters (Å, degrees): 5.063 5.063 21.521 90.00 90.00 90.00
Space group I4_1/amd (No. 141, origin choice 2)
One atom of each set of equivalent atoms:
Cs: 0.000 0.250 0.375 x4
Sc: 0.000 0.250 0.875 x4
Ta: 0.000 0.000 0.000 x8

Computed properties:
The value obtained for the formation energy is 1.82 eV per atom.

***

No. 2
First-principles (GGA-PBE) data for an optimized crystal structure of CsScTa3, as listed in Alexandria.

Lattice parameters (Å, degrees): 5.091 5.091 5.091 90.00 90.00 90.00
Space group Pm-3m (No. 221)
One atom of each set of equivalent atoms:
Cs: 0.000 0.000 0.000 x1
Sc: 0.500 0.500 0.500 x1
Ta: 0.000 0.500 0.500 x3

Computed properties:
The value obtained for the formation energy is 2.29 eV per atom. As for the excess energy over the best structure of this formula in the dataset: 0.0000 eV/atom.

***

No. 3
First-principles (GGA-PBE) data for an optimized crystal structure of CsScTa3, as listed in Alexandria.

Lattice parameters (Å, degrees): 5.041 5.041 5.041 90.00 90.00 90.00
Space group Pm-3m (No. 221)
One atom of each set of equivalent atoms:
Cs: 0.000 0.000 0.000 x1
Sc: 0.500 0.500 0.500 x1
Ta: 0.000 0.000 0.500 x3

Computed properties:
The value obtained for the formation energy is 2.74 eV per atom. As for the excess energy over the best structure of this formula in the dataset: 0.4565 eV/atom.

***

No. 4
First-principles (GGA-PBE) data for an optimized crystal structure of CsSc2Ta, as listed in Alexandria.

Lattice parameters (Å, degrees): 7.431 7.431 7.431 90.00 90.00 90.00
Space group Fm-3m (No. 225)
One atom of each set of equivalent atoms:
Cs: 0.000 0.000 0.000 x4
Sc: 0.250 0.250 0.250 x8
Ta: 0.000 0.000 0.500 x4

Computed properties:
The value obtained for the formation energy is 1.18 eV per atom. As for the excess energy over the best structure of this formula in the dataset: 0.6040 eV/atom.

***

No. 5
First-principles (GGA-PBE) data for an optimized crystal structure of CsSc2Ta, as listed in Alexandria.

Lattice parameters (Å, degrees): 3.2897 3.2897 34.9784 90.00 90.00 120.00
Space group R-3m (No. 166, hexagonal axes)
One atom of each set of equivalent atoms:
Cs: 0.0000 0.0000 0.0000 x3
Sc: 0.0000 0.0000 0.1002 x6
Ta: 0.0000 0.0000 0.5000 x3

Computed properties:
The value obtained for the formation energy is 0.57 eV per atom. As for the excess energy over the best structure of this formula in the dataset: 0.0000 eV/atom.

***

No. 6
First-principles (GGA-PBE) data for an optimized crystal structure of CsScTaTe2, as listed in Alexandria.

Lattice parameters (Å, degrees): 5.486 5.486 5.917 90.00 90.00 90.00
Space group P4/mmm (No. 123)
One atom of each set of equivalent atoms:
Cs: 0.000 0.000 0.000 x1
Sc: 0.500 0.500 0.000 x1
Ta: 0.000 0.000 0.500 x1
Te: 0.000 0.500 0.500 x2

Computed properties:
The formation energy without anion corrections is 729 meV per atom.

***

No. 7
First-principles (GGA-PBE) data for an optimized crystal structure of Cs4Tb3ScTe8, as listed in Alexandria.

Lattice parameters (Å, degrees): 9.0444 9.0444 26.7184 90.00 90.00 120.00
Space group R-3m (No. 166, hexagonal axes)
One atom of each set of equivalent atoms:
Cs: 0.0000 0.0000 0.0000 x3
Cs: 0.0000 0.5000 0.0000 x9
Tb: 0.0000 0.5000 0.5000 x9
Sc: 0.0000 0.0000 0.5000 x3
Te: 0.0000 0.0000 0.2306 x6
Te: 0.0109 0.5055 0.2288 x18

Computed properties:
The formation energy without anion corrections is -1348 meV per atom.

***

No. 8
First-principles (GGA-PBE) data for an optimized crystal structure of Cs3Tb2ScTe6, as listed in Alexandria.

Lattice parameters (Å, degrees): 7.804 13.517 9.268 90.00 106.32 90.00
Space group C2/m (No. 12)
One atom of each set of equivalent atoms:
Cs: 0.000 0.000 0.000 x2
Cs: 0.000 0.330 0.000 x4
Tb: 0.000 0.166 0.500 x4
Sc: 0.000 0.500 0.500 x2
Te: 0.223 0.339 0.686 x8
Te: 0.241 0.000 0.688 x4

Computed properties:
The formation energy without anion corrections is -1335 meV per atom.

***

No. 9
First-principles (GGA-PBE) data for an optimized crystal structure of CsTbScTe3, as listed in Alexandria.

Lattice parameters (Å, degrees): 10.249 4.640 11.150 90.00 111.38 90.00
Space group P2_1/m (No. 11)
One atom of each set of equivalent atoms:
Cs: 0.216 0.250 0.240 x2
Tb: 0.337 0.750 0.867 x2
Sc: 0.086 0.250 0.608 x2
Te: 0.125 0.250 0.869 x2
Te: 0.211 0.750 0.551 x2
Te: 0.473 0.750 0.160 x2

Computed properties:
The formation energy without anion corrections is -1239 meV per atom.

***

No. 10
First-principles (GGA-PBE) data for an optimized crystal structure of Cs3TbSc2Te6, as listed in Alexandria.

Lattice parameters (Å, degrees): 7.689 13.317 9.229 90.00 106.14 90.00
Space group C2/m (No. 12)
One atom of each set of equivalent atoms:
Cs: 0.000 0.000 0.000 x2
Cs: 0.000 0.337 0.000 x4
Tb: 0.000 0.500 0.500 x2
Sc: 0.000 0.167 0.500 x4
Te: 0.215 0.000 0.683 x4
Te: 0.234 0.327 0.684 x8

Computed properties:
The formation energy without anion corrections is -1282 meV per atom.

***

No. 11
First-principles (GGA-PBE) data for an optimized crystal structure of CsScTc3, as listed in Alexandria.

Lattice parameters (Å, degrees): 5.000 5.000 5.000 90.00 90.00 90.00
Space group Pm-3m (No. 221)
One atom of each set of equivalent atoms:
Cs: 0.000 0.000 0.000 x1
Sc: 0.500 0.500 0.500 x1
Tc: 0.000 0.500 0.500 x3

Computed properties:
The value obtained for the formation energy is 2.04 eV per atom. As for the excess energy over the best structure of this formula in the dataset: 0.0000 eV/atom.

***

No. 12
First-principles (GGA-PBE) data for an optimized crystal structure of CsScTc3, as listed in Alexandria.

Lattice parameters (Å, degrees): 4.850 4.850 4.850 90.00 90.00 90.00
Space group Pm-3m (No. 221)
One atom of each set of equivalent atoms:
Cs: 0.000 0.000 0.000 x1
Sc: 0.500 0.500 0.500 x1
Tc: 0.000 0.000 0.500 x3

Computed properties:
The value obtained for the formation energy is 2.65 eV per atom. As for the excess energy over the best structure of this formula in the dataset: 0.6116 eV/atom.

***

No. 13
First-principles (GGA-PBE) data for an optimized crystal structure of CsSc2ZnTc, as listed in Alexandria.

Lattice parameters (Å, degrees): 5.216 5.216 4.866 90.00 90.00 90.00
Space group P4/mmm (No. 123)
One atom of each set of equivalent atoms:
Cs: 0.000 0.000 0.000 x1
Sc: 0.000 0.500 0.000 x2
Zn: 0.500 0.500 0.500 x1
Tc: 0.000 0.000 0.500 x1

Computed properties:
The value obtained for the formation energy is 1.88 eV per atom.

***

No. 14
First-principles (GGA-PBE) data for an optimized crystal structure of Cs2Sc3Te6, as listed in Alexandria.

Lattice parameters (Å, degrees): 7.203 12.478 9.613 90.00 104.51 90.00
Space group C2/m (No. 12)
One atom of each set of equivalent atoms:
Cs: 0.000 0.166 0.000 x4
Sc: 0.000 0.000 0.500 x2
Sc: 0.000 0.332 0.500 x4
Te: 0.224 0.500 0.683 x4
Te: 0.230 0.165 0.683 x8

Computed properties:
The formation energy without anion corrections is -1185 meV per atom.

***

No. 15
First-principles (GGA-PBE) data for an optimized crystal structure of CsSc3Te4, as listed in Alexandria.

Lattice parameters (Å, degrees): 4.2579 4.2579 31.1967 90.00 90.00 120.00
Space group P6_3/mmc (No. 194)
One atom of each set of equivalent atoms:
Cs: 0.3333 0.6667 0.2500 x2
Sc: 0.0000 0.0000 0.0000 x2
Sc: 0.3333 0.6667 0.6075 x4
Te: 0.0000 0.0000 0.1591 x4
Te: 0.3333 0.6667 0.0533 x4

Computed properties:
The formation energy without anion corrections is -1170 meV per atom.

***

No. 16
First-principles (GGA-PBE) data for an optimized crystal structure of CsSc4Te6, as listed in Alexandria.

Lattice parameters (Å, degrees): 4.267 14.231 22.604 90.00 90.00 90.00
Space group Cmcm (No. 63)
One atom of each set of equivalent atoms:
Cs: 0.000 0.166 0.250 x4
Sc: 0.000 0.092 0.628 x8
Sc: 0.000 0.365 0.537 x8
Te: 0.000 0.000 0.000 x4
Te: 0.000 0.128 0.750 x4
Te: 0.000 0.271 0.081 x8
Te: 0.000 0.460 0.647 x8

Computed properties:
The formation energy without anion corrections is -1152 meV per atom.

***

No. 17
First-principles (GGA-PBE) data for an optimized crystal structure of Cs3ScTe, as listed in Alexandria.

Lattice parameters (Å, degrees): 7.367 7.367 7.367 90.00 90.00 90.00
Space group Pm-3m (No. 221)
One atom of each set of equivalent atoms:
Cs: 0.000 0.000 0.500 x3
Sc: 0.500 0.500 0.500 x1
Te: 0.000 0.000 0.000 x1

Computed properties:
The formation energy without anion corrections is 119 meV per atom. As for the excess energy over the best structure of this formula in the dataset: 0.0000 eV/atom.

***

No. 18
First-principles (GGA-PBE) data for an optimized crystal structure of CsSc2Te4, as listed in Alexandria.

Lattice parameters (Å, degrees): 7.852 8.341 9.052 105.14 97.94 107.27
Space group P1 (No. 1)
One atom of each set of equivalent atoms:
Cs: 0.000 0.000 0.000 x1
Cs: 0.155 0.507 0.936 x1
Sc: 0.004 0.754 0.465 x1
Sc: 0.548 0.741 0.480 x1
Sc: 0.611 0.373 0.118 x1
Sc: 0.631 0.229 0.479 x1
Te: 0.310 0.885 0.322 x1
Te: 0.340 0.854 0.737 x1
Te: 0.371 0.356 0.314 x1
Te: 0.487 0.219 0.772 x1
Te: 0.720 0.730 0.196 x1
Te: 0.767 0.596 0.672 x1
Te: 0.877 0.055 0.597 x1
Te: 0.908 0.360 0.307 x1

Computed properties:
The formation energy without anion corrections is -1034 meV per atom. As for the excess energy over the best structure of this formula in the dataset: 0.1026 eV/atom.

***

No. 19
First-principles (GGA-PBE) data for an optimized crystal structure of CsSc2Te4, as listed in Alexandria.

Lattice parameters (Å, degrees): 20.276 4.134 6.911 90.00 108.69 90.00
Space group C2/m (No. 12)
One atom of each set of equivalent atoms:
Cs: 0.000 0.000 0.000 x2
Sc: 0.250 0.000 0.255 x4
Te: 0.157 0.000 0.502 x4
Te: 0.160 0.500 0.999 x4

Computed properties:
The formation energy without anion corrections is -1137 meV per atom. As for the excess energy over the best structure of this formula in the dataset: 0.0000 eV/atom.

***

No. 20
First-principles (GGA-PBE) data for an optimized crystal structure of CsScTe3, as listed in Alexandria.

Lattice parameters (Å, degrees): 6.128 6.128 6.128 90.00 90.00 90.00
Space group Pm-3m (No. 221)
One atom of each set of equivalent atoms:
Cs: 0.000 0.000 0.000 x1
Sc: 0.500 0.500 0.500 x1
Te: 0.000 0.000 0.500 x3

Computed properties:
The formation energy without anion corrections is 942 meV per atom. As for the excess energy over the best structure of this formula in the dataset: 1.8734 eV/atom.

***

no.,total magnetization (μB per atom),E_tot (eV/atom)
1,0.00,-5.906
2,0.00,-6.263
3,0.00,-5.807
4,0.00,-5.166
5,0.00,-5.770
6,0.31,-4.335
7,0.00,-4.396
8,0.00,-4.419
9,0.04,-4.779
10,0.00,-4.507
11,1.23,-5.614
12,0.00,-5.003
13,0.00,-3.147
14,0.00,-4.780
15,0.00,-5.222
16,0.00,-5.246
17,0.40,-2.287
18,0.00,-4.760
19,0.00,-4.863
20,0.09,-2.380